Entry 1:
VASP calculation (PBE-GGA) on MgCoP2 after structural relaxation.

* DFT formation energy: -0.1556 eV per atom
* DOS(E_F): 2.31 states/eV/f.u.
* E_tot: -5.036 eV/atom

Cell: 5.5533 5.5533 10.1156 Å, 90.00 90.00 90.00°
Space group I-42d (No. 122)
Symmetry-distinct sites (fractional):
Mg1 0.0000 0.0000 0.0000
Co1 0.0000 0.0000 0.5000
P1 0.1785 0.2500 0.6250


Entry 2:
VASP calculation (PBE-GGA) on Pm2CoSn3 after structural relaxation.

* E above lowest polymorph: 7.9 kJ/mol of atoms
* DFT formation energy: -0.4376 eV per atom
* DOS(E_F): 4.06 states/eV/f.u.
* E_tot: -5.207 eV/atom

Cell: 4.2261 4.6357 7.8705 Å, 90.00 90.00 90.00°
Space group Pmm2 (No. 25)
Symmetry-distinct sites (fractional):
Pm1 0.0000 0.0000 0.0000
Pm2 0.0000 0.5000 0.4642
Co1 0.5000 0.0000 0.2739
Sn1 0.5000 0.0000 0.5916
Sn2 0.5000 0.5000 0.1619
Sn3 0.5000 0.5000 0.8021


Entry 3:
VASP calculation (PBE-GGA) on LiTeBr after structural relaxation.

* E above lowest polymorph: 25.1 kJ/mol of atoms
* DOS(E_F): 1.55 states/eV/f.u.
* uncorrected formation energy: -66.4 kJ per mole of atoms
* E_tot: -2.931 eV/atom

Cell: 3.3820 3.3820 18.1052 Å, 90.00 90.00 90.00°
Space group I4mm (No. 107)
Symmetry-distinct sites (fractional):
Li1 0.0000 0.0000 0.0000
Te1 0.0000 0.0000 0.2541
Br1 0.0000 0.0000 0.5192


Entry 4:
VASP calculation (PBE-GGA) on SrCeCdAu after structural relaxation.

* DFT formation energy: -0.3730 eV per atom
* DOS(E_F): 10.33 states/eV/f.u.
* E_tot: -3.325 eV/atom

Cell: 7.6836 7.6836 7.6836 Å, 90.00 90.00 90.00°
Space group F-43m (No. 216)
Symmetry-distinct sites (fractional):
Sr1 0.0000 0.0000 0.0000
Ce1 0.0000 0.0000 0.5000
Cd1 0.2500 0.2500 0.2500
Au1 0.2500 0.2500 0.7500


Entry 5:
VASP calculation (PBE-GGA) on PmHf2Mo after structural relaxation.

* E above lowest polymorph: 0.0 kJ/mol of atoms
* DFT formation energy: 0.0575 eV per atom
* DOS(E_F): 5.13 states/eV/f.u.
* E_tot: -8.815 eV/atom

Cell: 3.3872 3.3872 8.0962 Å, 90.00 90.00 90.00°
Space group P4/mmm (No. 123)
Symmetry-distinct sites (fractional):
Pm1 0.0000 0.0000 0.0000
Hf1 0.5000 0.5000 0.3108
Mo1 0.0000 0.0000 0.5000


Entry 6:
VASP calculation (PBE-GGA) on TlRe2Hg after structural relaxation.

* E above lowest polymorph: 53.9 kJ/mol of atoms
* DFT formation energy: 1.0062 eV per atom
* DOS(E_F): 2.80 states/eV/f.u.
* E_tot: -5.885 eV/atom

Cell: 10.3803 3.1039 5.6592 Å, 90.00 113.53 90.00°
Space group C2/m (No. 12)
Symmetry-distinct sites (fractional):
Tl1 0.0000 0.0000 0.0000
Re1 0.2460 0.5000 0.3312
Hg1 0.0000 0.5000 0.5000


Entry 7:
VASP calculation (PBE-GGA) on Cu3SbH after structural relaxation.

* E above lowest polymorph: 72.4 kJ/mol of atoms
* DOS(E_F): 0.00 states/eV/f.u.
* E_tot: -2.995 eV/atom

Cell: 4.9261 4.9261 4.9261 Å, 90.00 90.00 90.00°
Space group Pm-3m (No. 221)
Symmetry-distinct sites (fractional):
Cu1 0.0000 0.0000 0.5000
Sb1 0.0000 0.0000 0.0000
H1 0.5000 0.5000 0.5000


Entry 8:
VASP calculation (PBE-GGA) on ScAg8 after structural relaxation.

* E above lowest polymorph: 0.0 kJ/mol of atoms
* DFT formation energy: -0.0412 eV per atom
* DOS(E_F): 3.00 states/eV/f.u.
* E_tot: -3.279 eV/atom

Cell: 8.8304 8.8304 4.2226 Å, 90.00 90.00 90.00°
Space group I4/mmm (No. 139)
Symmetry-distinct sites (fractional):
Sc1 0.0000 0.0000 0.0000
Ag1 0.0000 0.3337 0.0000
Ag2 0.1670 0.1670 0.5000


Entry 9:
VASP calculation (PBE-GGA) on Tl3CdSb after structural relaxation.

* E above lowest polymorph: 0.0 kJ/mol of atoms
* DOS(E_F): 1.83 states/eV/f.u.
* uncorrected formation energy: 2.5 kJ per mole of atoms
* E_tot: -2.401 eV/atom

Cell: 5.6908 6.3257 8.7495 Å, 78.56 79.23 81.22°
Space group P-1 (No. 2)
Symmetry-distinct sites (fractional):
Tl1 0.2062 0.2484 0.2231
Tl2 0.2178 0.6697 0.4452
Tl3 0.2398 0.8076 0.0167
Cd1 0.2909 0.0435 0.6277
Sb1 0.2936 0.3988 0.8074


Entry 10:
VASP calculation (PBE-GGA) on TaCd3Re after structural relaxation.

* E above lowest polymorph: 0.0 kJ/mol of atoms
* DFT formation energy: 1.8865 eV per atom
* DOS(E_F): 5.03 states/eV/f.u.
* E_tot: -3.523 eV/atom

Cell: 5.1299 5.1299 5.1299 Å, 90.00 90.00 90.00°
Space group Pm-3m (No. 221)
Symmetry-distinct sites (fractional):
Ta1 0.0000 0.0000 0.0000
Cd1 0.0000 0.5000 0.5000
Re1 0.5000 0.5000 0.5000


Entry 11:
VASP calculation (PBE-GGA) on ReBiSCl2 after structural relaxation.

* E above lowest polymorph: 57.2 kJ/mol of atoms
* DOS(E_F): 0.35 states/eV/f.u.
* uncorrected formation energy: 88.0 kJ per mole of atoms
* E_tot: -3.918 eV/atom

Cell: 5.4420 5.4420 5.3912 Å, 90.00 90.00 90.00°
Space group P4/mmm (No. 123)
Symmetry-distinct sites (fractional):
Re1 0.0000 0.0000 0.0000
Bi1 0.5000 0.5000 0.5000
S1 0.5000 0.5000 0.0000
Cl1 0.0000 0.5000 0.5000


Entry 12:
VASP calculation (PBE-GGA) on Pr3Mg2Cd4 after structural relaxation.

* DFT formation energy: -0.2865 eV per atom
* DOS(E_F): 6.62 states/eV/f.u.
* E_tot: -2.641 eV/atom

Cell: 11.2852 5.1622 9.5830 Å, 90.00 121.35 90.00°
Space group C2/m (No. 12)
Symmetry-distinct sites (fractional):
Pr1 0.0000 0.0000 0.0000
Pr2 0.1656 0.5000 0.6685
Mg1 0.1148 0.5000 0.2824
Cd1 0.0559 0.0000 0.3878
Cd2 0.2245 0.5000 0.0601


Entry 13:
VASP calculation (PBE-GGA) on Hg2OsPb after structural relaxation.

* DFT formation energy: 0.8207 eV per atom
* DOS(E_F): 1.83 states/eV/f.u.
* E_tot: -3.065 eV/atom

Cell: 4.1631 4.1631 9.5835 Å, 90.00 90.00 90.00°
Space group I4/mmm (No. 139)
Symmetry-distinct sites (fractional):
Hg1 0.0000 0.5000 0.2500
Os1 0.0000 0.0000 0.0000
Pb1 0.0000 0.0000 0.5000


Entry 14:
VASP calculation (PBE-GGA) on HoCdHg4 after structural relaxation.

* E above lowest polymorph: 0.0 kJ/mol of atoms
* DFT formation energy: -0.1652 eV per atom
* DOS(E_F): 3.20 states/eV/f.u.
* E_tot: -1.282 eV/atom

Cell: 6.5337 10.5211 8.5040 Å, 90.00 90.00 90.00°
Space group Cmcm (No. 63)
Symmetry-distinct sites (fractional):
Ho1 0.0000 0.1183 0.2500
Cd1 0.0000 0.3897 0.7500
Hg1 0.2463 0.1265 0.5800